The following is a DFT calculation (PBE) of KSbS2 after structural relaxation.

Its total magnetization is 0.0000 μB per atom. For the energy relative to the elements, uncorrected, the calculation gives -674 meV per atom.

The structure belongs to space group P1 (No. 1); the cell edges are 3.928, 4.810 and 6.696 Å and the angles 92.13°, 105.85° and 90.04°. The distinct sites, in fractional coordinates, are K at (0.000, 0.000, 0.000), Sb at (0.282, 0.451, 0.535), S at (0.453, 0.493, 0.900) and S at (0.752, 0.102, 0.472).

=====

The following is a DFT calculation (PBE) of Sm2TmTl2Ag2 after structural relaxation.

The calculation puts the formation energy at -0.1677 eV per atom. Its total magnetization is 0.0003 μB per atom.

The structure belongs to space group R-3m (No. 166, hexagonal axes); the cell edges are 4.8739, 4.8739 and 27.3476 Å and the angles 90.00°, 90.00° and 120.00°. The distinct sites, in fractional coordinates, are Sm at (0.0000, 0.0000, 0.1241), Tm at (0.0000, 0.0000, 0.0000), Tl at (0.0000, 0.0000, 0.2612) and Ag at (0.0000, 0.0000, 0.3879).

=====

The following is a DFT calculation (PBE) of SmZnGa4 after structural relaxation.

The calculation puts the formation energy at -0.3442 eV per atom. Its total magnetization is 0.0000 μB per atom. The calculation puts the energy above the most stable polymorph in this dataset at 0.000 eV/atom.

The structure belongs to space group C2/m (No. 12); the cell edges are 10.633, 4.206 and 6.731 Å and the angles 90.00°, 128.95° and 90.00°. The distinct sites, in fractional coordinates, are Sm at (0.000, 0.000, 0.000), Zn at (0.000, 0.000, 0.500), Ga at (0.160, 0.500, 0.459) and Ga at (0.161, 0.500, 0.864).

=====

The following is a DFT calculation (PBE) of NaMg2ZnPd after structural relaxation.

The calculation puts the formation energy at -0.1588 eV per atom. Its total magnetization is 0.0000 μB per atom.

The structure belongs to space group P4/mmm (No. 123); the cell edges are 5.038, 5.038 and 4.930 Å and the angles 90.00°, 90.00° and 90.00°. The distinct sites, in fractional coordinates, are Na at (0.000, 0.000, 0.000), Mg at (0.000, 0.500, 0.500), Zn at (0.500, 0.500, 0.000) and Pd at (0.500, 0.500, 0.500).

=====

Number 1: final energy -16.2 eV/cell. Number 2: final energy -76.6 eV/cell. Number 3: final energy -40.3 eV/cell. Number 4: final energy -11.8 eV/cell.